Record 1
This record from the Alexandria database describes a relaxed Sb2RhAu2 crystal. The functional is GGA-PBE.

**Formation energy from raw total energies**: 2.51 kcal/mol of atoms

Lattice parameters (Å, degrees): 7.100 7.100 4.240 90.00 90.00 90.00
Fractional positions:
Sb1 0.166 0.334 0.000
Sb2 0.334 0.834 0.000
Sb3 0.666 0.166 0.000
Sb4 0.834 0.666 0.000
Rh1 0.000 0.000 0.000
Rh2 0.500 0.500 0.000
Au1 0.145 0.645 0.500
Au2 0.355 0.145 0.500
Au3 0.645 0.855 0.500
Au4 0.855 0.355 0.500

***

Record 2
This record from the Alexandria database describes a relaxed SrMgNb2Si crystal. The functional is GGA-PBE.

**Formation energy from raw total energies**: 37.33 kcal/mol of atoms

Lattice parameters (Å, degrees): 4.923 4.923 5.397 90.00 90.00 90.00
Fractional positions:
Sr1 0.000 0.000 0.000
Mg1 0.000 0.000 0.500
Nb1 0.000 0.500 0.500
Nb2 0.500 0.000 0.500
Si1 0.500 0.500 0.000

***

Record 3
This record from the Alexandria database describes a relaxed Sc3PaS4 crystal. The functional is GGA-PBE.

**Formation energy from raw total energies**: -40.86 kcal/mol of atoms

Lattice parameters (Å, degrees): 6.506 6.506 3.720 90.00 90.00 108.94
Fractional positions:
Sc1 0.000 0.000 0.000
Sc2 0.000 0.500 0.500
Sc3 0.500 0.000 0.500
Pa1 0.500 0.500 0.000
S1 0.236 0.236 0.500
S2 0.244 0.756 0.000
S3 0.756 0.244 0.000
S4 0.764 0.764 0.500

***

Record 4
This record from the Alexandria database describes a relaxed PrEuCu2 crystal. The functional is GGA-PBE.

**Calculated formation energy**: 0.0608 eV/atom
**Energy relative to the lowest polymorph listed for this composition**: 0.169 eV per atom

Lattice parameters (Å, degrees): 7.454 7.454 7.454 33.06 33.06 33.06
Fractional positions:
Pr1 0.000 0.000 0.000
Eu1 0.500 0.500 0.500
Cu1 0.254 0.254 0.254
Cu2 0.746 0.746 0.746

***

N(E_F) across the listed records, respectively: 4.1 4.2 5.9 11.4 states/eV per cell.